Mn3AlF | PBE with a Hubbard U | optimized geometry

Computed properties:
ΔE to the lowest computed polymorph = 0.0000 eV/atom
ρ = 3.895 g cm⁻³
V = 89.9 Å³/cell

Cell lengths 4.4790, 4.4790, 4.4790 Å; angles 90.00, 90.00, 90.00 degrees
Space group Pm-3m (No. 221)
Unique sites:
Mn  0.0000  0.0000  0.5000 [3 per cell]
Al  0.5000  0.5000  0.5000 [1 per cell]
F  0.0000  0.0000  0.0000 [1 per cell]